(1)
Crystalline KThIO6 at its relaxed geometry. Source: Alexandria, functional PBE.

## Properties
crystal system	trigonal
energy relative to the elements, uncorrected	-1683.7	meV/atom

Lattice parameters (Å, degrees): 5.833 5.833 5.765 90.00 90.00 60.00
Atoms (fractional coordinates):
Th  0.667  0.667  0.500
O  0.593  0.053  0.312
O  0.354  0.593  0.312
O  0.593  0.354  0.688
O  0.053  0.354  0.312
O  0.053  0.593  0.688
O  0.354  0.053  0.688
K  0.000  0.000  0.000
I  0.333  0.333  0.500


(2)
Crystalline Dy2GaI at its relaxed geometry. Source: Alexandria, functional PBE.

## Properties
crystal system	trigonal
energy relative to the elements, uncorrected	-646.1	meV/atom
energy above the lowest structure with this stoichiometry	41	meV/atom

Lattice parameters (Å, degrees): 4.217 4.217 7.998 74.71 74.71 60.00
Atoms (fractional coordinates):
Dy  0.268  0.268  0.197
Dy  0.066  0.066  0.803
I  0.498  0.498  0.505
Ga  0.668  0.668  0.995